The following is a GGA+U calculation of crystalline MnSCl2F at its relaxed geometry, from Alexandria.

The structure in POSCAR format:
```
MnSCl2F
1.0
-3.658 1.001 -3.733
2.868 -2.742 -3.546
-1.786 -3.068 0.928
S Mn F Cl
1 1 1 2
direct
0.000 0.000 0.500
0.500 0.500 0.500
0.000 0.000 0.000
0.000 0.500 0.000
0.500 0.000 0.000
```

## Properties
The spin magnetization is 6.17 μB/f.u. Its space-group type is P4/mmm. Its total energy is -3.4072 eV per atom.